Run i
BaTl2O4: single point on PBEsol structure, SCAN.

Calculated values
density = 9393 kg/m³

Cell: 10.321 3.480 12.012 Å, 90.00 90.00 90.00°
Space group Pnma (No. 62)
Asymmetric unit:
Ba 0.245 0.250 0.152
Tl 0.075 0.250 0.392
Tl 0.078 0.250 0.892
O 0.021 0.750 0.781
O 0.077 0.250 0.575
O 0.120 0.750 0.017
O 0.208 0.750 0.334

=====

Run ii
BaTl2O4: single point on PBEsol structure, SCAN.

Calculated values
density = 9244 kg/m³

Cell: 3.532 11.371 10.913 Å, 90.00 90.00 90.00°
Space group Cmcm (No. 63)
Asymmetric unit:
Ba 0.000 0.107 0.250
Tl 0.000 0.363 0.068
O 0.000 0.000 0.000
O 0.000 0.272 0.607
O 0.000 0.436 0.250

=====

Last place for stability: run ii

=====

Run i
Ba3YO: single point on PBEsol structure, SCAN.

Calculated values
density = 3838 kg/m³

Cell: 6.070 6.070 6.070 Å, 90.00 90.00 90.00°
Space group Pm-3m (No. 221)
Asymmetric unit:
Ba 0.000 0.000 0.500
Y 0.000 0.000 0.000
O 0.500 0.500 0.500

=====

Run ii
Ba3YO: single point on PBEsol structure, SCAN.

Calculated values
density = 4972 kg/m³

Cell: 5.568 5.568 5.568 Å, 90.00 90.00 90.00°
Space group Pm-3m (No. 221)
Asymmetric unit:
Ba 0.000 0.000 0.500
Y 0.500 0.500 0.500
O 0.000 0.000 0.000

=====

Last place for stability: run i

=====

Run i
BaOs3: single point on PBEsol structure, SCAN.

Calculated values
density = 16107 kg/m³

Cell: 2.889 2.889 8.746 Å, 90.00 90.00 90.00°
Space group P4/mmm (No. 123)
Asymmetric unit:
Ba 0.000 0.000 0.000
Os 0.000 0.000 0.500
Os 0.500 0.500 0.307

=====

Run ii
BaOs3: single point on PBEsol structure, SCAN.

Calculated values
density = 15809 kg/m³

Cell: 2.847 5.133 10.179 Å, 90.00 90.00 90.00°
Space group Immm (No. 71)
Asymmetric unit:
Ba 0.000 0.000 0.000
Os 0.000 0.000 0.500
Os 0.000 0.500 0.215

=====

Last place for stability: run ii

=====

Run i
BaP2Os: single point on PBEsol structure, SCAN.

Calculated values
density = 8775 kg/m³

Cell: 6.656 6.656 6.656 Å, 90.00 90.00 90.00°
Space group Fm-3m (No. 225)
Asymmetric unit:
Ba 0.000 0.000 0.000
P 0.250 0.250 0.250
Os 0.000 0.000 0.500

=====

Run ii
BaP2Os: single point on PBEsol structure, SCAN.

Calculated values
density = 8394 kg/m³

Cell: 4.316 4.316 8.272 Å, 90.00 90.00 90.00°
Space group I-4m2 (No. 119)
Asymmetric unit:
Ba 0.000 0.000 0.000
P 0.000 0.000 0.500
P 0.000 0.500 0.750
Os 0.000 0.500 0.250

=====

Last place for stability: run ii

=====

Run i
BaOsPt2: single point on PBEsol structure, SCAN.

Calculated values
density = 15221 kg/m³

Cell: 6.791 6.791 6.791 Å, 90.00 90.00 90.00°
Space group Fm-3m (No. 225)
Asymmetric unit:
Ba 0.000 0.000 0.000
Os 0.000 0.000 0.500
Pt 0.250 0.250 0.250

=====

Run ii
BaOsPt2: single point on PBEsol structure, SCAN.

Calculated values
density = 14916 kg/m³

Cell: 3.271 3.271 7.467 Å, 90.00 90.00 90.00°
Space group P4/mmm (No. 123)
Asymmetric unit:
Ba 0.000 0.000 0.000
Os 0.000 0.000 0.500
Pt 0.500 0.500 0.321

=====

Run iii
BaOsPt2: single point on PBEsol structure, SCAN.

Calculated values
density = 14797 kg/m³

Cell: 2.889 3.802 7.333 Å, 90.00 90.00 90.00°
Space group Pmm2 (No. 25)
Asymmetric unit:
Ba 0.000 0.000 0.000
Os 0.500 0.500 0.340
Pt 0.000 0.000 0.480
Pt 0.500 0.500 0.696

=====

Last place for stability: run i

=====

Run i
BaOs2Pt: single point on PBEsol structure, SCAN.

Calculated values
density = 13122 kg/m³

Cell: 3.597 5.561 9.019 Å, 90.00 90.00 90.00°
Space group Imm2 (No. 44)
Asymmetric unit:
Ba 0.000 0.000 0.000
Os 0.000 0.000 0.494
Os 0.000 0.500 0.827
Pt 0.000 0.500 0.198

=====

Run ii
BaOs2Pt: single point on PBEsol structure, SCAN.

Calculated values
density = 16250 kg/m³

Cell: 2.8793 2.8793 30.4380 Å, 90.00 90.00 120.00°
Space group R-3m (No. 166, hexagonal axes)
Asymmetric unit:
Ba 0.0000 0.0000 0.0000
Os 0.0000 0.0000 0.2362
Pt 0.0000 0.0000 0.5000

=====

Last place for stability: run ii

=====

Run i
BaOsRh2: single point on PBEsol structure, SCAN.

Calculated values
density = 11361 kg/m³

Cell: 4.225 2.877 12.829 Å, 90.00 90.00 90.00°
Space group Amm2 (No. 38)
Asymmetric unit:
Ba 0.000 0.000 0.000
Os 0.500 0.000 0.312
Rh 0.000 0.000 0.759
Rh 0.500 0.000 0.644

=====

Run ii
BaOsRh2: single point on PBEsol structure, SCAN.

Calculated values
density = 12367 kg/m³

Cell: 6.592 6.592 6.592 Å, 90.00 90.00 90.00°
Space group F-43m (No. 216)
Asymmetric unit:
Ba 0.000 0.000 0.000
Os 0.250 0.250 0.250
Rh 0.000 0.000 0.500
Rh 0.250 0.250 0.750

=====

Last place for stability: run ii

=====

Run i
BaOs2Ru: single point on PBEsol structure, SCAN.

Calculated values
density = 13310 kg/m³

Cell: 2.819 3.659 7.486 Å, 90.00 90.00 90.00°
Space group Pmmm (No. 47)
Asymmetric unit:
Ba 0.000 0.000 0.000
Os 0.500 0.500 0.331
Ru 0.000 0.000 0.500

=====

Run ii
BaOs2Ru: single point on PBEsol structure, SCAN.

Calculated values
density = 14601 kg/m³

Cell: 4.437 4.437 7.151 Å, 90.00 90.00 90.00°
Space group I-4m2 (No. 119)
Asymmetric unit:
Ba 0.000 0.000 0.000
Os 0.000 0.000 0.500
Os 0.000 0.500 0.250
Ru 0.000 0.500 0.750

=====

Last place for stability: run ii

=====

Run i
BaOs2Ru: single point on PBEsol structure, SCAN.

Calculated values
density = 12771 kg/m³

Cell: 4.080 2.870 13.744 Å, 90.00 90.00 90.00°
Space group Amm2 (No. 38)
Asymmetric unit:
Ba 0.000 0.000 0.000
Os 0.000 0.000 0.758
Os 0.500 0.000 0.316
Ru 0.500 0.000 0.655

=====

Run ii
BaOs2Ru: single point on PBEsol structure, SCAN.

Calculated values
density = 14400 kg/m³

Cell: 6.584 6.584 6.584 Å, 90.00 90.00 90.00°
Space group Fm-3m (No. 225)
Asymmetric unit:
Ba 0.000 0.000 0.000
Os 0.250 0.250 0.250
Ru 0.000 0.000 0.500

=====

Last place for stability: run ii

=====

Run i
BaOsRu2: single point on PBEsol structure, SCAN.

Calculated values
density = 10542 kg/m³

Cell: 3.314 5.520 9.122 Å, 90.00 90.00 90.00°
Space group Immm (No. 71)
Asymmetric unit:
Ba 0.000 0.000 0.000
Os 0.000 0.000 0.500
Ru 0.000 0.500 0.190

=====

Run ii
BaOsRu2: single point on PBEsol structure, SCAN.

Calculated values
density = 12436 kg/m³

Cell: 6.565 6.565 6.565 Å, 90.00 90.00 90.00°
Space group Fm-3m (No. 225)
Asymmetric unit:
Ba 0.000 0.000 0.000
Os 0.000 0.000 0.500
Ru 0.250 0.250 0.250

=====

Last place for stability: run ii

=====

Run i
Ba2SrOs: single point on PBEsol structure, SCAN.

Calculated values
density = 6273 kg/m³

Cell: 5.222 5.230 10.712 Å, 90.00 90.00 90.00°
Space group Cmm2 (No. 35)
Asymmetric unit:
Ba 0.000 0.000 0.000
Ba 0.000 0.500 0.340
Sr 0.000 0.500 0.668
Os 0.000 0.000 0.507

=====

Run ii
Ba2SrOs: single point on PBEsol structure, SCAN.

Calculated values
density = 7652 kg/m³

Cell: 5.339 5.339 8.412 Å, 90.00 90.00 90.00°
Space group I-4m2 (No. 119)
Asymmetric unit:
Ba 0.000 0.000 0.000
Ba 0.000 0.500 0.250
Sr 0.000 0.500 0.750
Os 0.000 0.000 0.500

=====

Last place for stability: run ii

=====

Run i
BaTa2Os: single point on PBEsol structure, SCAN.

Calculated values
density = 14498 kg/m³

Cell: 5.504 9.897 2.899 Å, 90.00 90.00 90.00°
Space group Cmmm (No. 65)
Asymmetric unit:
Ba 0.000 0.000 0.000
Ta 0.250 0.250 0.500
Os 0.000 0.500 0.000

=====

Run ii
BaTa2Os: single point on PBEsol structure, SCAN.

Calculated values
density = 14541 kg/m³

Cell: 6.804 6.804 6.804 Å, 90.00 90.00 90.00°
Space group F-43m (No. 216)
Asymmetric unit:
Ba 0.000 0.000 0.000
Ta 0.000 0.000 0.500
Ta 0.250 0.250 0.250
Os 0.250 0.250 0.750

=====

Last place for stability: run i

=====

Run i
BaTcOs2: single point on PBEsol structure, SCAN.

Calculated values
density = 14071 kg/m³

Cell: 4.982 4.982 2.927 Å, 90.00 90.00 90.00°
Space group P4/mmm (No. 123)
Asymmetric unit:
Ba 0.000 0.000 0.000
Tc 0.500 0.500 0.000
Os 0.000 0.500 0.500

=====

Run ii
BaTcOs2: single point on PBEsol structure, SCAN.

Calculated values
density = 14349 kg/m³

Cell: 4.443 4.443 7.219 Å, 90.00 90.00 90.00°
Space group I4/mmm (No. 139)
Asymmetric unit:
Ba 0.000 0.000 0.000
Tc 0.000 0.000 0.500
Os 0.000 0.500 0.250

=====

Last place for stability: run i

=====

Run i
BaOs2W: single point on PBEsol structure, SCAN.

Calculated values
density = 14292 kg/m³

Cell: 2.847 3.708 7.722 Å, 90.00 90.00 90.00°
Space group Pmm2 (No. 25)
Asymmetric unit:
Ba 0.000 0.000 0.000
Os 0.000 0.000 0.480
Os 0.500 0.500 0.322
W 0.500 0.500 0.652

=====

Run ii
BaOs2W: single point on PBEsol structure, SCAN.

Calculated values
density = 15114 kg/m³

Cell: 3.102 3.103 8.007 Å, 90.00 90.22 90.00°
Space group P2/m (No. 10)
Asymmetric unit:
Ba 0.000 0.000 0.000
Os 0.498 0.500 0.317
W 0.000 0.000 0.500

=====

Last place for stability: run i